Computed, not measured: a relaxed structure of MnPd2Br6 at the PBE level of DFT.

Unit cell a=14.0628 b=13.3638 c=5.5491 alpha=90.00 beta=99.35 gamma=90.00
Space group C2/c (No. 15)
Inequivalent atoms, fractional coordinates:
Mn: 0.0000 0.0884 0.2500 (multiplicity 4)
Pd: 0.0933 0.4034 0.1666 (multiplicity 8)
Br: 0.1090 0.0630 0.6288 (multiplicity 8)
Br: 0.1166 0.2219 0.1406 (multiplicity 8)
Br: 0.1197 0.4131 0.6789 (multiplicity 8)

Output
For the energy above the most stable polymorph in this dataset, the calculation gives 0.91 eV per formula unit. The value obtained for the total moment is 3.86 μB per formula unit.

***

Computed, not measured: a relaxed structure of CsKCd17 at the PBE level of DFT.

Unit cell a=10.5249 b=10.5249 c=15.4215 alpha=90.00 beta=90.00 gamma=120.00
Space group R3m (No. 160, hexagonal axes)
Inequivalent atoms, fractional coordinates:
Cs: 0.0000 0.0000 0.0000 (multiplicity 3)
K: 0.0000 0.0000 0.6834 (multiplicity 3)
Cd: 0.0000 0.0000 0.2476 (multiplicity 3)
Cd: 0.0000 0.0000 0.4444 (multiplicity 3)
Cd: 0.0021 0.2948 0.3434 (multiplicity 18)
Cd: 0.0040 0.5020 0.8426 (multiplicity 9)
Cd: 0.0049 0.5025 0.1927 (multiplicity 9)
Cd: 0.0063 0.5031 0.4934 (multiplicity 9)

Output
The formation energy is -44 meV/atom. The value obtained for the total moment is 0.00 μB per formula unit.